A plane-wave DFT calculation with PBE was carried out for an optimized crystal structure of CrGeH.

Structure (POSCAR):
```
CrGeH
1.0
3.389 0.000 0.000
0.000 3.389 0.000
0.000 0.000 5.957
Cr Ge H
2 2 2
Cartesian
0.000 0.000 2.978
1.694 1.694 2.978
0.000 1.694 0.921
1.694 0.000 5.036
0.000 1.694 3.784
1.694 0.000 2.172
```

Computed properties:
- relative energy among the computed polymorphs (eV/f.u.) = 0.579
- E (eV/atom) = -5.60
- symmetry = P4/nmm, No. 129